# 1
Density functional theory data (SCAN) for a crystal of LiC3 relaxed with PBEsol.

It has space group P4/mmm (No. 123), with a = 2.590 Å, b = 2.590 Å, c = 4.565 Å, α = 90.00°, β = 90.00° and γ = 90.00°. The asymmetric unit holds Li at (0.000, 0.000, 0.000), C at (0.000, 0.000, 0.500) and C at (0.500, 0.500, 0.347).

As for the energy above the most stable polymorph in this dataset: 509 meV/atom. Its energy of formation is 2.020 eV/atom. The density of states at the Fermi level is 0.779 states/eV/f.u.

# 2
Density functional theory data (SCAN) for a crystal of Li3C relaxed with PBEsol.

It has space group P6_3/mmc (No. 194), with a = 4.9629 Å, b = 4.9629 Å, c = 3.6856 Å, α = 90.00°, β = 90.00° and γ = 120.00°. The asymmetric unit holds Li at (0.1865, 0.3730, 0.2500) and C at (0.3333, 0.6667, 0.7500).

Its energy of formation is 0.527 eV/atom. The density of states at the Fermi level is 1.312 states/eV/f.u.

# 3
Density functional theory data (SCAN) for a crystal of LiC3 relaxed with PBEsol.

It has space group Cmmm (No. 65), with a = 2.468 Å, b = 5.801 Å, c = 5.148 Å, α = 90.00°, β = 90.00° and γ = 90.00°. The asymmetric unit holds Li at (0.000, 0.000, 0.000), C at (0.000, 0.000, 0.500) and C at (0.000, 0.500, 0.334).

As for the energy above the most stable polymorph in this dataset: 0 meV/atom. Its energy of formation is 1.511 eV/atom. The density of states at the Fermi level is 0.704 states/eV/f.u.

# 4
Density functional theory data (SCAN) for a crystal of Li3C2 relaxed with PBEsol.

It has space group Fdd2 (No. 43), with a = 8.693 Å, b = 16.198 Å, c = 2.570 Å, α = 90.00°, β = 90.00° and γ = 90.00°. The asymmetric unit holds Li at (0.000, 0.000, 0.000), Li at (0.077, 0.143, 0.688) and C at (0.024, 0.268, 0.715).

Its energy of formation is 0.207 eV/atom. The density of states at the Fermi level is 0.852 states/eV/f.u.

# 5
Density functional theory data (SCAN) for a crystal of LiMgC3 relaxed with PBEsol.

It has space group Pm-3m (No. 221), with a = 3.637 Å, b = 3.637 Å, c = 3.637 Å, α = 90.00°, β = 90.00° and γ = 90.00°. The asymmetric unit holds Li at (0.000, 0.000, 0.000), Mg at (0.500, 0.500, 0.500) and C at (0.000, 0.000, 0.500).

Its energy of formation is 2.419 eV/atom. The density of states at the Fermi level is 1.886 states/eV/f.u.

# 6
Density functional theory data (SCAN) for a crystal of Li3MnSiCO7 relaxed with PBEsol.

It has space group P2_1/m (No. 11), with a = 4.939 Å, b = 6.195 Å, c = 8.467 Å, α = 90.00°, β = 93.47° and γ = 90.00°. The asymmetric unit holds Li at (0.234, 0.250, 0.118), Li at (0.251, 0.527, 0.723), Mn at (0.195, 0.750, 0.332), Si at (0.287, 0.250, 0.425), C at (0.275, 0.750, 0.031), O at (0.022, 0.750, 0.053), O at (0.170, 0.051, 0.310), O at (0.175, 0.250, 0.601), O at (0.371, 0.750, 0.893), O at (0.382, 0.750, 0.560) and O at (0.445, 0.750, 0.157).

The raw formation energy is -30.09 eV per formula unit.

# 7
Density functional theory data (SCAN) for a crystal of Li2MnSiCO7 relaxed with PBEsol.

It has space group P2_1/m (No. 11), with a = 4.963 Å, b = 6.231 Å, c = 8.252 Å, α = 90.00°, β = 94.01° and γ = 90.00°. The asymmetric unit holds Li at (0.225, 0.003, 0.261), Mn at (0.196, 0.250, 0.836), Si at (0.283, 0.750, 0.924), C at (0.272, 0.250, 0.552), O at (0.034, 0.250, 0.610), O at (0.155, 0.750, 0.102), O at (0.179, 0.545, 0.816), O at (0.313, 0.250, 0.404), O at (0.385, 0.250, 0.039) and O at (0.467, 0.250, 0.669).

The raw formation energy is -26.87 eV per formula unit. The density of states at the Fermi level is 0.000 states/eV/f.u.

# 8
Density functional theory data (SCAN) for a crystal of RbLi2MnC relaxed with PBEsol.

It has space group P4/mmm (No. 123), with a = 4.495 Å, b = 4.495 Å, c = 5.532 Å, α = 90.00°, β = 90.00° and γ = 90.00°. The asymmetric unit holds Rb at (0.000, 0.000, 0.000), Li at (0.000, 0.500, 0.500), Mn at (0.500, 0.500, 0.000) and C at (0.000, 0.000, 0.500).

Its energy of formation is 1.078 eV/atom. The density of states at the Fermi level is 2.195 states/eV/f.u.

How do the records compare in volume? In the order shown, they have 7.65; 9.83; 9.21; 9.05; 9.62; 9.94; 10.61; 22.36 Å³ per atom.